No. 1
Ca3AlN3 after structural relaxation, computed with PBE.

```
Ca3AlN3
1.0
6.9008 0.0000 0.0000
0.0000 6.1481 0.0000
-0.6526 0.0000 9.8216
Ca Al N
12 4 12
direct
0.0757 0.1410 0.1506
0.0757 0.3590 0.6506
0.3550 0.7154 0.8058
0.3550 0.7846 0.3058
0.3698 0.2035 0.9232
0.3698 0.2965 0.4232
0.6302 0.7035 0.5768
0.6302 0.7965 0.0768
0.6450 0.2154 0.6942
0.6450 0.2846 0.1942
0.9243 0.6410 0.3494
0.9243 0.8590 0.8494
0.1599 0.5910 0.0609
0.1599 0.9090 0.5609
0.8401 0.0910 0.4391
0.8401 0.4090 0.9391
0.1049 0.0385 0.3828
0.1049 0.4615 0.8828
0.2590 0.6238 0.5296
0.2590 0.8762 0.0296
0.3369 0.0675 0.6792
0.3369 0.4325 0.1792
0.6631 0.5675 0.8208
0.6631 0.9325 0.3208
0.7410 0.1238 0.9704
0.7410 0.3762 0.4704
0.8951 0.5385 0.1172
0.8951 0.9615 0.6172
```

Computed properties:
Symmetry: No. 14

***

No. 2
Ca5Al2N5 after structural relaxation, computed with PBE.

```
Ca5Al2N5
1.0
-4.0903 4.0903 2.6876
4.0903 -4.0903 2.6876
4.0903 4.0903 -2.6876
Ca Al N
5 2 5
direct
0.0000 0.0000 0.0000
0.2607 0.2607 0.6125
0.2607 0.6482 0.0000
0.6482 0.2607 0.0000
0.6482 0.6482 0.3875
0.3951 0.8951 0.5000
0.8951 0.3951 0.5000
0.1497 0.4734 0.3236
0.1497 0.8261 0.6764
0.4734 0.1497 0.3236
0.5755 0.5755 0.0000
0.8261 0.1497 0.6764
```

Computed properties:
Symmetry: No. 107

***

no.,DOS(E_F) (states/eV per atom),E (eV/atom)
1,0.0000,-5.98
2,0.3528,-5.78